Entry 1:
The following is a GGA-PBE calculation of an optimized crystal structure of Zr2TiCuO, from Alexandria.

Cell and atoms, written as CIF:
```
data_Zr2TiCuO
_chemical_formula_sum 'Zr2 Ti1 Cu1 O1'
_space_group_name_H-M_alt 'P 4/m m m'
_space_group_IT_number 123
_space_group_name_Hall '-P 4 2'
_cell_length_a 4.4752
_cell_length_b 4.4752
_cell_length_c 3.9892
_cell_angle_alpha 90.00
_cell_angle_beta 90.00
_cell_angle_gamma 90.00
loop_
_atom_site_label
_atom_site_type_symbol
_atom_site_fract_x
_atom_site_fract_y
_atom_site_fract_z
Zr1 Zr 0.0000 0.5000 0.0000
Ti1 Ti 0.0000 0.0000 0.5000
Cu1 Cu 0.5000 0.5000 0.5000
O1 O 0.0000 0.0000 0.0000
```

## Properties
Uncorrected formation energy (eV per atom): -1.045
Fermi-level density of states (states/eV/atom): 0.779
Total DFT energy (no corrections) (eV per atom): -7.85


Entry 2:
The following is a GGA-PBE calculation of an optimized crystal structure of Pm12ZnIn3, from Alexandria.

Cell and atoms, written as CIF:
```
data_Pm12ZnIn3
_chemical_formula_sum 'Pm12 Zn1 In3'
_space_group_name_H-M_alt 'P 4/m m m'
_space_group_IT_number 123
_space_group_name_Hall '-P 4 2'
_cell_length_a 4.9356
_cell_length_b 4.9356
_cell_length_c 19.6430
_cell_angle_alpha 90.00
_cell_angle_beta 90.00
_cell_angle_gamma 90.00
loop_
_atom_site_label
_atom_site_type_symbol
_atom_site_fract_x
_atom_site_fract_y
_atom_site_fract_z
Pm1 Pm 0.0000 0.0000 0.0000
Pm2 Pm 0.0000 0.0000 0.2452
Pm3 Pm 0.0000 0.0000 0.5000
Pm4 Pm 0.0000 0.5000 0.1204
Pm5 Pm 0.0000 0.5000 0.3731
Zn1 Zn 0.5000 0.5000 0.0000
In1 In 0.5000 0.5000 0.2473
In2 In 0.5000 0.5000 0.5000
```

## Properties
Fermi-level density of states (states/eV/atom): 1.459
ΔE_f (eV per atom): -0.217
Total DFT energy (no corrections) (eV per atom): -4.37


Entry 3:
The following is a GGA-PBE calculation of an optimized crystal structure of NiTeP2Pt, from Alexandria.

Cell and atoms, written as CIF:
```
data_NiTeP2Pt
_chemical_formula_sum 'Ni2 Te2 P4 Pt2'
_space_group_name_H-M_alt 'C 1 m 1'
_space_group_IT_number 8
_space_group_name_Hall 'C -2y'
_cell_length_a 7.6730
_cell_length_b 3.5106
_cell_length_c 7.8454
_cell_angle_alpha 90.00
_cell_angle_beta 110.69
_cell_angle_gamma 90.00
loop_
_atom_site_label
_atom_site_type_symbol
_atom_site_fract_x
_atom_site_fract_y
_atom_site_fract_z
Ni1 Ni 0.0000 0.0000 0.0000
Te1 Te 0.1376 0.5000 0.8436
P1 P 0.0399 0.5000 0.1820
P2 P 0.2894 0.5000 0.4225
Pt1 Pt 0.4976 0.0000 0.4762
```

## Properties
Uncorrected formation energy (eV per atom): -0.250
Energy relative to the lowest polymorph listed for this composition (meV/atom): 50
Fermi-level density of states (states/eV/atom): 0.563
Total DFT energy (no corrections) (eV per atom): -5.41


Entry 4:
The following is a GGA-PBE calculation of an optimized crystal structure of YPu3S4, from Alexandria.

Cell and atoms, written as CIF:
```
data_YPu3S4
_chemical_formula_sum 'Y2 Pu6 S8'
_space_group_name_H-M_alt 'C m m m'
_space_group_IT_number 65
_space_group_name_Hall '-C 2 2'
_cell_length_a 7.9066
_cell_length_b 11.1693
_cell_length_c 3.9517
_cell_angle_alpha 90.00
_cell_angle_beta 90.00
_cell_angle_gamma 90.00
loop_
_atom_site_label
_atom_site_type_symbol
_atom_site_fract_x
_atom_site_fract_y
_atom_site_fract_z
Y1 Y 0.0000 0.0000 0.0000
Pu1 Pu 0.0000 0.5000 0.0000
Pu2 Pu 0.2500 0.2500 0.5000
S1 S 0.0000 0.2498 0.0000
S2 S 0.2490 0.0000 0.5000
```

## Properties
Uncorrected formation energy (eV per atom): -1.837
Energy relative to the lowest polymorph listed for this composition (meV/atom): 0
Fermi-level density of states (states/eV/atom): 3.018
Total DFT energy (no corrections) (eV per atom): -10.08


Entry 5:
The following is a GGA-PBE calculation of an optimized crystal structure of Er2Tm3Sc7, from Alexandria.

Cell and atoms, written as CIF:
```
data_Er2Tm3Sc7
_chemical_formula_sum 'Er4 Tm6 Sc14'
_space_group_name_H-M_alt 'C m m m'
_space_group_IT_number 65
_space_group_name_Hall '-C 2 2'
_cell_length_a 5.3421
_cell_length_b 35.1617
_cell_length_c 3.4640
_cell_angle_alpha 90.00
_cell_angle_beta 90.00
_cell_angle_gamma 90.00
loop_
_atom_site_label
_atom_site_type_symbol
_atom_site_fract_x
_atom_site_fract_y
_atom_site_fract_z
Er1 Er 0.0000 0.1458 0.0000
Tm1 Tm 0.0000 0.0000 0.0000
Tm2 Tm 0.0000 0.3152 0.5000
Sc1 Sc 0.0000 0.0712 0.5000
Sc2 Sc 0.0000 0.2312 0.0000
Sc3 Sc 0.0000 0.4133 0.0000
Sc4 Sc 0.0000 0.5000 0.5000
```

## Properties
Energy relative to the lowest polymorph listed for this composition (meV/atom): 34
Fermi-level density of states (states/eV/atom): 1.713
ΔE_f (eV per atom): 0.133
Total DFT energy (no corrections) (eV per atom): -5.44


Entry 6:
The following is a GGA-PBE calculation of an optimized crystal structure of TaMnAg2C, from Alexandria.

Cell and atoms, written as CIF:
```
data_TaMnAg2C
_chemical_formula_sum 'Ta1 Mn1 Ag2 C1'
_space_group_name_H-M_alt 'P 4/m m m'
_space_group_IT_number 123
_space_group_name_Hall '-P 4 2'
_cell_length_a 4.2861
_cell_length_b 4.2861
_cell_length_c 4.3137
_cell_angle_alpha 90.00
_cell_angle_beta 90.00
_cell_angle_gamma 90.00
loop_
_atom_site_label
_atom_site_type_symbol
_atom_site_fract_x
_atom_site_fract_y
_atom_site_fract_z
Ta1 Ta 0.0000 0.0000 0.0000
Mn1 Mn 0.5000 0.5000 0.0000
Ag1 Ag 0.0000 0.5000 0.5000
C1 C 0.0000 0.0000 0.5000
```

## Properties
Fermi-level density of states (states/eV/atom): 0.494
ΔE_f (eV per atom): 0.641
Total DFT energy (no corrections) (eV per atom): -6.55


Entry 7:
The following is a GGA-PBE calculation of an optimized crystal structure of AcAlZnHg, from Alexandria.

Cell and atoms, written as CIF:
```
data_AcAlZnHg
_chemical_formula_sum 'Ac4 Al4 Zn4 Hg4'
_space_group_name_H-M_alt 'F -4 3 m'
_space_group_IT_number 216
_space_group_name_Hall 'F -4 2 3'
_cell_length_a 7.3693
_cell_length_b 7.3693
_cell_length_c 7.3693
_cell_angle_alpha 90.00
_cell_angle_beta 90.00
_cell_angle_gamma 90.00
loop_
_atom_site_label
_atom_site_type_symbol
_atom_site_fract_x
_atom_site_fract_y
_atom_site_fract_z
Ac1 Ac 0.0000 0.0000 0.0000
Al1 Al 0.0000 0.0000 0.5000
Zn1 Zn 0.2500 0.2500 0.7500
Hg1 Hg 0.2500 0.2500 0.2500
```

## Properties
Fermi-level density of states (states/eV/atom): 0.384
ΔE_f (eV per atom): -0.224
Total DFT energy (no corrections) (eV per atom): -2.58


Entry 8:
The following is a GGA-PBE calculation of an optimized crystal structure of Re2TeW, from Alexandria.

Cell and atoms, written as CIF:
```
data_Re2TeW
_chemical_formula_sum 'Re2 Te1 W1'
_space_group_name_H-M_alt 'P 4/m m m'
_space_group_IT_number 123
_space_group_name_Hall '-P 4 2'
_cell_length_a 3.1587
_cell_length_b 3.1587
_cell_length_c 6.8086
_cell_angle_alpha 90.00
_cell_angle_beta 90.00
_cell_angle_gamma 90.00
loop_
_atom_site_label
_atom_site_type_symbol
_atom_site_fract_x
_atom_site_fract_y
_atom_site_fract_z
Re1 Re 0.0000 0.0000 0.2282
Te1 Te 0.5000 0.5000 0.5000
W1 W 0.5000 0.5000 0.0000
```

## Properties
Uncorrected formation energy (eV per atom): 0.460
Fermi-level density of states (states/eV/atom): 0.379
Total DFT energy (no corrections) (eV per atom): -9.79


Entry 9:
The following is a GGA-PBE calculation of an optimized crystal structure of Hf3Ni2As3, from Alexandria.

Cell and atoms, written as CIF:
```
data_Hf3Ni2As3
_chemical_formula_sum 'Hf12 Ni8 As12'
_space_group_name_H-M_alt 'C m c m'
_space_group_IT_number 63
_space_group_name_Hall '-C 2c 2'
_cell_length_a 3.8044
_cell_length_b 10.1394
_cell_length_c 13.4400
_cell_angle_alpha 90.00
_cell_angle_beta 90.00
_cell_angle_gamma 90.00
loop_
_atom_site_label
_atom_site_type_symbol
_atom_site_fract_x
_atom_site_fract_y
_atom_site_fract_z
Hf1 Hf 0.0000 0.0581 0.1127
Hf2 Hf 0.0000 0.3558 0.2500
Ni1 Ni 0.0000 0.2350 0.6044
As1 As 0.0000 0.3651 0.7500
As2 As 0.0000 0.3729 0.0435
```

## Properties
Fermi-level density of states (states/eV/atom): 0.398
ΔE_f (eV per atom): -0.769
Total DFT energy (no corrections) (eV per atom): -7.69


> What is the formula in the sixth record?

TaMnAg2C


> Look up the total DFT energy (no corrections) of the third one.

-5.41 eV per atom


> The highest total DFT energy (no corrections) belongs to which entry?

AcAlZnHg